Record 1
Crystalline Th3Ge2SbRh9 at its relaxed geometry, computed with PBE.

Summary:
* total magnetization: 0.00 μB per atom
* formation energy (no corrections): -0.5732 eV/atom

CIF file:
```
data_Th3Ge2SbRh9
_space_group_name_H-M_alt 'P -3 m 1'
_space_group_IT_number 164
_space_group_name_Hall '-P 3 2"'
_cell_length_a 5.6991
_cell_length_b 5.6991
_cell_length_c 11.1883
_cell_angle_alpha 90.00
_cell_angle_beta 90.00
_cell_angle_gamma 120.00
loop_
_atom_site_label
_atom_site_fract_x
_atom_site_fract_y
_atom_site_fract_z
Th1 0.0000 0.0000 0.0000
Th2 0.3333 0.6667 0.7430
Ge1 0.3333 0.6667 0.1611
Sb1 0.0000 0.0000 0.5000
Rh1 0.0000 0.5000 0.0000
Rh2 0.1626 0.3251 0.3152
```



Record 2
Crystalline Th2GeSbRh6 at its relaxed geometry, computed with PBE.

Summary:
* total magnetization: 0.00 μB per atom
* formation energy (no corrections): -0.6576 eV/atom

CIF file:
```
data_Th2GeSbRh6
_space_group_name_H-M_alt 'P m m n'
_space_group_IT_number 59
_cell_length_a 5.540
_cell_length_b 8.664
_cell_length_c 8.356
_cell_angle_alpha 90.00
_cell_angle_beta 90.00
_cell_angle_gamma 90.00
loop_
_space_group_symop_operation_xyz
'x,y,z'
'-x,-y,-z'
'-x+1/2,-y+1/2,z'
'x+1/2,y+1/2,-z'
'x+1/2,-y,-z'
'-x+1/2,y,z'
'-x,y+1/2,-z'
'x,-y+1/2,z'
loop_
_atom_site_label
_atom_site_fract_x
_atom_site_fract_y
_atom_site_fract_z
Th1 0.250 0.018 0.232
Ge1 0.250 0.750 0.747
Sb1 0.250 0.250 0.764
Rh1 0.004 0.250 0.492
Rh2 0.006 0.750 0.985
Rh3 0.250 0.502 0.591
```



Record 3
Crystalline Th3GeSb2Rh9 at its relaxed geometry, computed with PBE.

Summary:
* total magnetization: 0.00 μB per atom
* formation energy (no corrections): -0.4056 eV/atom

CIF file:
```
data_Th3GeSb2Rh9
_space_group_name_H-M_alt 'P -3 m 1'
_space_group_IT_number 164
_space_group_name_Hall '-P 3 2"'
_cell_length_a 6.9699
_cell_length_b 6.9699
_cell_length_c 7.8596
_cell_angle_alpha 90.00
_cell_angle_beta 90.00
_cell_angle_gamma 120.00
loop_
_atom_site_label
_atom_site_fract_x
_atom_site_fract_y
_atom_site_fract_z
Th1 0.0000 0.0000 0.0000
Th2 0.3333 0.6667 0.7537
Ge1 0.0000 0.0000 0.5000
Sb1 0.3333 0.6667 0.2537
Rh1 0.0000 0.5000 0.0000
Rh2 0.1318 0.2636 0.2668
```



Record 4
Crystalline Th2Ge3SbRh4 at its relaxed geometry, computed with PBE.

Summary:
* total magnetization: 0.00 μB per atom
* formation energy (no corrections): -0.8476 eV/atom

CIF file:
```
data_Th2Ge3SbRh4
_space_group_name_H-M_alt 'P -4 m 2'
_space_group_IT_number 115
_cell_length_a 4.302
_cell_length_b 4.302
_cell_length_c 10.404
_cell_angle_alpha 90.00
_cell_angle_beta 90.00
_cell_angle_gamma 90.00
loop_
_space_group_symop_operation_xyz
'x,y,z'
'y,-x,-z'
'-x,-y,z'
'-y,x,-z'
'-x,y,z'
'-y,-x,-z'
'x,-y,z'
'y,x,-z'
loop_
_atom_site_label
_atom_site_fract_x
_atom_site_fract_y
_atom_site_fract_z
Th1 0.000 0.500 0.239
Ge1 0.000 0.500 0.871
Ge2 0.500 0.500 0.500
Sb1 0.000 0.000 0.500
Rh1 0.000 0.000 0.000
Rh2 0.000 0.500 0.637
Rh3 0.500 0.500 0.000
```



Record 5
Crystalline Tm2Ge2SbRh5 at its relaxed geometry, computed with PBE.

Summary:
* total magnetization: 0.00 μB per atom
* formation energy (no corrections): -0.8048 eV/atom

CIF file:
```
data_Tm2Ge2SbRh5
_space_group_name_H-M_alt 'P 4/m b m'
_space_group_IT_number 127
_space_group_name_Hall '-P 4 2ab'
_cell_length_a 9.712
_cell_length_b 9.712
_cell_length_c 3.663
_cell_angle_alpha 90.00
_cell_angle_beta 90.00
_cell_angle_gamma 90.00
loop_
_atom_site_label
_atom_site_fract_x
_atom_site_fract_y
_atom_site_fract_z
Tm1 0.175 0.325 0.000
Ge1 0.122 0.622 0.000
Sb1 0.000 0.000 0.000
Rh1 0.000 0.500 0.500
Rh2 0.070 0.790 0.500
```



Record 6
Crystalline VGeSbRh2 at its relaxed geometry, computed with PBE.

Summary:
* total magnetization: 0.02 μB per atom
* formation energy (no corrections): 0.9648 eV/atom

CIF file:
```
data_VGeSbRh2
_space_group_name_H-M_alt 'P 4/m m m'
_space_group_IT_number 123
_space_group_name_Hall '-P 4 2'
_cell_length_a 4.499
_cell_length_b 4.499
_cell_length_c 5.222
_cell_angle_alpha 90.00
_cell_angle_beta 90.00
_cell_angle_gamma 90.00
loop_
_atom_site_label
_atom_site_fract_x
_atom_site_fract_y
_atom_site_fract_z
V1 0.000 0.000 0.000
Ge1 0.500 0.500 0.500
Sb1 0.500 0.500 0.000
Rh1 0.000 0.500 0.500
```



Record 7
Crystalline Ge2SbRhW at its relaxed geometry, computed with PBE.

Summary:
* total magnetization: 0.41 μB per atom
* formation energy (no corrections): 0.7925 eV/atom

CIF file:
```
data_Ge2SbRhW
_space_group_name_H-M_alt 'P 4/m m m'
_space_group_IT_number 123
_space_group_name_Hall '-P 4 2'
_cell_length_a 4.640
_cell_length_b 4.640
_cell_length_c 5.130
_cell_angle_alpha 90.00
_cell_angle_beta 90.00
_cell_angle_gamma 90.00
loop_
_atom_site_label
_atom_site_fract_x
_atom_site_fract_y
_atom_site_fract_z
Ge1 0.000 0.500 0.000
Sb1 0.000 0.000 0.500
Rh1 0.500 0.500 0.000
W1 0.500 0.500 0.500
```



Record 8
Crystalline Y2Ge2SbRh5 at its relaxed geometry, computed with PBE.

Summary:
* total magnetization: 0.00 μB per atom
* formation energy (no corrections): -0.7868 eV/atom

CIF file:
```
data_Y2Ge2SbRh5
_space_group_name_H-M_alt 'P 4/m b m'
_space_group_IT_number 127
_space_group_name_Hall '-P 4 2ab'
_cell_length_a 9.807
_cell_length_b 9.807
_cell_length_c 3.660
_cell_angle_alpha 90.00
_cell_angle_beta 90.00
_cell_angle_gamma 90.00
loop_
_atom_site_label
_atom_site_fract_x
_atom_site_fract_y
_atom_site_fract_z
Y1 0.176 0.324 0.000
Ge1 0.121 0.621 0.000
Sb1 0.000 0.000 0.000
Rh1 0.000 0.500 0.500
Rh2 0.068 0.789 0.500
```



Record 9
Crystalline Y2Ge3SbRh4 at its relaxed geometry, computed with PBE.

Summary:
* total magnetization: 0.00 μB per atom
* formation energy (no corrections): -0.8111 eV/atom

CIF file:
```
data_Y2Ge3SbRh4
_space_group_name_H-M_alt 'P -4 m 2'
_space_group_IT_number 115
_cell_length_a 4.214
_cell_length_b 4.214
_cell_length_c 10.539
_cell_angle_alpha 90.00
_cell_angle_beta 90.00
_cell_angle_gamma 90.00
loop_
_space_group_symop_operation_xyz
'x,y,z'
'y,-x,-z'
'-x,-y,z'
'-y,x,-z'
'-x,y,z'
'-y,-x,-z'
'x,-y,z'
'y,x,-z'
loop_
_atom_site_label
_atom_site_fract_x
_atom_site_fract_y
_atom_site_fract_z
Y1 0.000 0.500 0.240
Ge1 0.000 0.500 0.874
Ge2 0.500 0.500 0.500
Sb1 0.000 0.000 0.500
Rh1 0.000 0.000 0.000
Rh2 0.000 0.500 0.644
Rh3 0.500 0.500 0.000
```



Record 10
Crystalline Sc2GeRh4 at its relaxed geometry, computed with PBE.

Summary:
* E_form: -0.182 eV/atom
* total magnetization: 0.00 μB per atom

CIF file:
```
data_Sc2GeRh4
_space_group_name_H-M_alt 'I 4/m m m'
_space_group_IT_number 139
_space_group_name_Hall '-I 4 2'
_cell_length_a 4.501
_cell_length_b 4.501
_cell_length_c 13.100
_cell_angle_alpha 90.00
_cell_angle_beta 90.00
_cell_angle_gamma 90.00
loop_
_atom_site_label
_atom_site_fract_x
_atom_site_fract_y
_atom_site_fract_z
Sc1 0.000 0.000 0.137
Ge1 0.000 0.000 0.500
Rh1 0.000 0.000 0.318
Rh2 0.000 0.500 0.000
```



Record 11
Crystalline Sc4Ge6Rh7 at its relaxed geometry, computed with PBE.

Summary:
* E_form: -0.930 eV/atom
* total magnetization: 0.00 μB per atom

CIF file:
```
data_Sc4Ge6Rh7
_space_group_name_H-M_alt 'I m -3 m'
_space_group_IT_number 229
_space_group_name_Hall '-I 4 2 3'
_cell_length_a 8.179
_cell_length_b 8.179
_cell_length_c 8.179
_cell_angle_alpha 90.00
_cell_angle_beta 90.00
_cell_angle_gamma 90.00
loop_
_atom_site_label
_atom_site_fract_x
_atom_site_fract_y
_atom_site_fract_z
Sc1 0.250 0.250 0.250
Ge1 0.000 0.000 0.314
Rh1 0.000 0.000 0.000
Rh2 0.000 0.250 0.500
```



Record 12
Crystalline Sc2GeRh at its relaxed geometry, computed with PBE.

Summary:
* E_form: -0.377 eV/atom
* total magnetization: 0.00 μB per atom

CIF file:
```
data_Sc2GeRh
_space_group_name_H-M_alt 'I -4 2 d'
_space_group_IT_number 122
_space_group_name_Hall 'I -4 2bw'
_cell_length_a 7.211
_cell_length_b 7.211
_cell_length_c 6.065
_cell_angle_alpha 90.00
_cell_angle_beta 90.00
_cell_angle_gamma 90.00
loop_
_atom_site_label
_atom_site_fract_x
_atom_site_fract_y
_atom_site_fract_z
Sc1 0.226 0.250 0.125
Ge1 0.000 0.000 0.500
Rh1 0.000 0.000 0.000
```



Record 13
Crystalline Sc2Ge2Rh3 at its relaxed geometry, computed with PBE.

Summary:
* E_form: -0.777 eV/atom
* total magnetization: 0.00 μB per atom

CIF file:
```
data_Sc2Ge2Rh3
_space_group_name_H-M_alt 'I m m m'
_space_group_IT_number 71
_space_group_name_Hall '-I 2 2'
_cell_length_a 4.150
_cell_length_b 4.286
_cell_length_c 13.271
_cell_angle_alpha 90.00
_cell_angle_beta 90.00
_cell_angle_gamma 90.00
loop_
_atom_site_label
_atom_site_fract_x
_atom_site_fract_y
_atom_site_fract_z
Sc1 0.000 0.000 0.122
Ge1 0.000 0.000 0.379
Rh1 0.000 0.500 0.000
Rh2 0.000 0.500 0.254
```



Record 14
Crystalline Sc3Ge3Rh2 at its relaxed geometry, computed with PBE.

Summary:
* E_form: -0.864 eV/atom
* total magnetization: 0.00 μB per atom

CIF file:
```
data_Sc3Ge3Rh2
_space_group_name_H-M_alt 'P n m a'
_space_group_IT_number 62
_cell_length_a 7.970
_cell_length_b 13.592
_cell_length_c 5.363
_cell_angle_alpha 90.00
_cell_angle_beta 90.00
_cell_angle_gamma 90.00
loop_
_space_group_symop_operation_xyz
'x,y,z'
'-x,-y,-z'
'-x+1/2,-y,z+1/2'
'x+1/2,y,-z+1/2'
'x+1/2,-y+1/2,-z+1/2'
'-x+1/2,y+1/2,z+1/2'
'-x,y+1/2,-z'
'x,-y+1/2,z'
loop_
_atom_site_label
_atom_site_fract_x
_atom_site_fract_y
_atom_site_fract_z
Sc1 0.043 0.115 0.115
Sc2 0.195 0.250 0.636
Ge1 0.171 0.750 0.627
Ge2 0.212 0.039 0.610
Rh1 0.070 0.600 0.387
```



Record 15
Crystalline ScGeRh at its relaxed geometry, computed with PBE.

Summary:
* E_form: -0.993 eV/atom
* total magnetization: 0.00 μB per atom

CIF file:
```
data_ScGeRh
_space_group_name_H-M_alt 'P -6 2 m'
_space_group_IT_number 189
_space_group_name_Hall 'P -6 -2'
_cell_length_a 6.7450
_cell_length_b 6.7450
_cell_length_c 3.8142
_cell_angle_alpha 90.00
_cell_angle_beta 90.00
_cell_angle_gamma 120.00
loop_
_atom_site_label
_atom_site_fract_x
_atom_site_fract_y
_atom_site_fract_z
Sc1 0.0000 0.4181 0.0000
Ge1 0.0000 0.0000 0.0000
Ge2 0.3333 0.6667 0.5000
Rh1 0.0000 0.7545 0.5000
```



Record 16
Crystalline ScGe2Rh4 at its relaxed geometry, computed with PBE.

Summary:
* E_form: -0.723 eV/atom
* total magnetization: 0.00 μB per atom

CIF file:
```
data_ScGe2Rh4
_space_group_name_H-M_alt 'P n m a'
_space_group_IT_number 62
_cell_length_a 18.287
_cell_length_b 4.107
_cell_length_c 5.746
_cell_angle_alpha 90.00
_cell_angle_beta 90.00
_cell_angle_gamma 90.00
loop_
_space_group_symop_operation_xyz
'x,y,z'
'-x,-y,-z'
'-x+1/2,-y,z+1/2'
'x+1/2,y,-z+1/2'
'x+1/2,-y+1/2,-z+1/2'
'-x+1/2,y+1/2,z+1/2'
'-x,y+1/2,-z'
'x,-y+1/2,z'
loop_
_atom_site_label
_atom_site_fract_x
_atom_site_fract_y
_atom_site_fract_z
Sc1 0.121 0.250 0.017
Ge1 0.042 0.750 0.288
Ge2 0.216 0.250 0.533
Rh1 0.031 0.750 0.835
Rh2 0.085 0.250 0.520
Rh3 0.181 0.750 0.294
Rh4 0.183 0.750 0.768
```



Record 17
Crystalline Sc2Ge3Rh at its relaxed geometry, computed with PBE.

Summary:
* E_form: -0.701 eV/atom
* total magnetization: 0.00 μB per atom

CIF file:
```
data_Sc2Ge3Rh
_space_group_name_H-M_alt 'C 1 m 1'
_space_group_IT_number 8
_cell_length_a 9.933
_cell_length_b 4.282
_cell_length_c 6.514
_cell_angle_alpha 90.00
_cell_angle_beta 129.38
_cell_angle_gamma 90.00
loop_
_space_group_symop_operation_xyz
'x,y,z'
'x,-y,z'
'x+1/2,y+1/2,z'
'x+1/2,-y+1/2,z'
loop_
_atom_site_label
_atom_site_fract_x
_atom_site_fract_y
_atom_site_fract_z
Sc1 0.000 0.000 0.000
Sc2 0.106 0.000 0.599
Ge1 0.218 0.500 0.408
Ge2 0.380 0.000 0.189
Ge3 0.423 0.000 0.653
Rh1 0.229 0.500 0.033
```



Record 18
Crystalline ScGe2Rh2 at its relaxed geometry, computed with PBE.

Summary:
* E_form: -0.562 eV/atom
* total magnetization: 0.07 μB per atom

CIF file:
```
data_ScGe2Rh2
_space_group_name_H-M_alt 'P 4/m b m'
_space_group_IT_number 127
_space_group_name_Hall '-P 4 2ab'
_cell_length_a 7.408
_cell_length_b 7.408
_cell_length_c 2.894
_cell_angle_alpha 90.00
_cell_angle_beta 90.00
_cell_angle_gamma 90.00
loop_
_atom_site_label
_atom_site_fract_x
_atom_site_fract_y
_atom_site_fract_z
Sc1 0.000 0.000 0.000
Ge1 0.148 0.352 0.000
Rh1 0.147 0.647 0.500
```



Record 19
Crystalline ScGeRh at its relaxed geometry, computed with PBE.

Summary:
* E_form: -0.843 eV/atom
* total magnetization: 0.00 μB per atom

CIF file:
```
data_ScGeRh
_space_group_name_H-M_alt 'C 1 2/m 1'
_space_group_IT_number 12
_cell_length_a 9.824
_cell_length_b 4.208
_cell_length_c 6.402
_cell_angle_alpha 90.00
_cell_angle_beta 128.65
_cell_angle_gamma 90.00
loop_
_space_group_symop_operation_xyz
'x,y,z'
'-x,-y,-z'
'-x,y,-z'
'x,-y,z'
'x+1/2,y+1/2,z'
'-x+1/2,-y+1/2,-z'
'-x+1/2,y+1/2,-z'
'x+1/2,-y+1/2,z'
loop_
_atom_site_label
_atom_site_fract_x
_atom_site_fract_y
_atom_site_fract_z
Sc1 0.053 0.000 0.292
Ge1 0.160 0.500 0.722
Rh1 0.176 0.500 0.135
```